Compound: KRb3Bi
Source: Alexandria
Functional: PBE
Structure: optimized geometry

```
5
Lattice="-0.637 -0.495 7.001 6.751 -1.967 0.475 1.921 6.749 0.652" Properties=species:S:1:pos:R:3 pbc="T T T"
K 0.000 0.000 0.000
Rb 0.960 3.375 0.326
Rb -0.319 -0.248 3.500
Rb 3.375 -0.984 0.238
Bi 4.017 2.143 4.064
```

## Properties
**E above lowest polymorph**: 250 kJ/mol of formula units
**ΔH_f (0 K)**: 0.409 eV per atom
**Crystal system**: cubic